! Pr3AsSCl | Alexandria | PBE | optimized geometry; values from VASP
! **Formation energy (no corrections)**: -1.558 eV/atom
! **V**: 27.75 A^3/atom
&SYSTEM
  ibrav = 0, nat = 12, ntyp = 4
/
ATOMIC_SPECIES
Pr 140.91 Pr.upf
As 74.92 As.upf
S 32.06 S.upf
Cl 35.45 Cl.upf
CELL_PARAMETERS angstrom
4.0684 0.0000 0.0000
0.0000 8.3788 -0.0199
0.0000 -3.3708 9.7774
ATOMIC_POSITIONS crystal
Pr 0.2500 0.7271 0.5536
Pr 0.7500 0.9078 0.1124
Pr 0.7500 0.4683 0.1768
Pr 0.7500 0.2729 0.4464
Pr 0.2500 0.5317 0.8232
Pr 0.2500 0.0922 0.8876
As 0.7500 0.8015 0.7962
As 0.2500 0.1985 0.2038
S 0.2500 0.6734 0.1129
S 0.7500 0.3266 0.8871
Cl 0.2500 0.1640 0.6029
Cl 0.7500 0.8360 0.3971

! Mg2TcIrN | Alexandria | PBE | optimized geometry; values from VASP
! **Formation energy (no corrections)**: 0.194 eV/atom
! **V**: 14.47 A^3/atom
&SYSTEM
  ibrav = 0, nat = 5, ntyp = 4
/
ATOMIC_SPECIES
Mg 24.30 Mg.upf
Ir 192.22 Ir.upf
Tc 98.00 Tc.upf
N 14.01 N.upf
CELL_PARAMETERS angstrom
-0.2622 2.8327 -3.2968
-3.8075 -0.2326 0.1030
-0.1244 3.2966 2.8423
ATOMIC_POSITIONS crystal
Mg 0.0000 0.0000 0.5000
Mg 0.5000 0.0000 0.0000
Ir 0.0000 0.5000 0.0000
Tc 0.5000 0.5000 0.5000
N 0.0000 0.0000 0.0000

! AcTb2PrEr4 | Alexandria | PBE | optimized geometry; values from VASP
! **Formation energy from the elements**: 453.3 meV/atom
! **V**: 34.53 A^3/atom
&SYSTEM
  ibrav = 0, nat = 16, ntyp = 4
/
ATOMIC_SPECIES
Ac 227.00 Ac.upf
Tb 158.93 Tb.upf
Pr 140.91 Pr.upf
Er 167.26 Er.upf
CELL_PARAMETERS angstrom
-6.0172 3.8840 -6.4224
-7.5532 -4.3236 4.0981
9.4004 5.0535 5.3150
ATOMIC_POSITIONS crystal
Ac 0.0000 0.5000 0.0000
Ac 0.0000 0.5000 0.5000
Tb 0.5000 0.0000 0.0000
Tb 0.5000 0.0000 0.5000
Tb 0.0000 0.0000 0.5000
Tb 0.5000 0.5000 0.0000
Pr 0.5000 0.5000 0.5000
Pr 0.0000 0.0000 0.0000
Er 0.2668 0.7584 0.0125
Er 0.7416 0.2332 0.4875
Er 0.2584 0.7668 0.5125
Er 0.7332 0.2416 0.9875
Er 0.7401 0.7583 0.0040
Er 0.7417 0.7599 0.4960
Er 0.2583 0.2401 0.5040
Er 0.2599 0.2417 0.9960